Density functional theory data (PBE) for KHfBe2Pd after structural relaxation.

Results
Formation enthalpy at 0 K ... 1107.5 meV per atom
Uncorrected energy ... -3.6317 eV/atom

a = 4.4502 Å, b = 4.4502 Å, c = 5.1724 Å
α = 90.00°, β = 90.00°, γ = 90.00°
Last column: nearest neighbours and their distance in Å.
Space group P4/mmm (No. 123)
One atom of each set of equivalent atoms:
K  0.0000  0.0000  0.0000  2 Pd 2.59
Hf  0.5000  0.5000  0.0000  4 K 3.15, 8 Be 3.41
Be  0.0000  0.5000  0.5000  2 Pd 2.23
Pd  0.0000  0.0000  0.5000  4 Be 2.23